## Hf2TaBi2 (PBE-GGA)

Data for a geometry-optimized Hf2TaBi2 structure.

Cell: 7.7339 7.7339 3.8626 Å, 90.00 90.00 90.00°
With the nearest neighbours (Å) after each atom.
Fractional coordinates of all 10 atoms:
Hf: 0.1487 0.3513 0.0000  6 Bi 2.92-3.02, 1 Hf 3.25
Hf: 0.3513 0.8513 0.0000  6 Bi 2.92-3.02, 1 Hf 3.25
Hf: 0.6487 0.1487 0.0000  6 Bi 2.92-3.02, 1 Hf 3.25
Hf: 0.8513 0.6487 0.0000  6 Bi 2.92-3.02, 1 Hf 3.25
Ta: 0.0000 0.0000 0.5000  4 Bi 2.94
Ta: 0.5000 0.5000 0.5000  4 Bi 2.94
Bi: 0.1515 0.6515 0.5000  6 Hf 2.92-3.02, 2 Ta 2.94
Bi: 0.3485 0.1515 0.5000  6 Hf 2.92-3.02, 2 Ta 2.94
Bi: 0.6515 0.8485 0.5000  6 Hf 2.92-3.02, 2 Ta 2.94
Bi: 0.8485 0.3485 0.5000  6 Hf 2.92-3.02, 2 Ta 2.94

Computed properties:
Its total magnetization is 0.00 μB/f.u. As for the symmetry: P4/mbm, No. 127. The value obtained for the formation energy is 27 kJ per mole of atoms. The energy is -7.6218 eV per atom. The value obtained for the density of states at the Fermi level is 7.26 states/eV per cell.